VASP calculation (PBEsol) on an optimized crystal structure of Cu2HgCl2.

Structure (extended XYZ):
```
5
Lattice="-1.146 -3.082 1.551 0.849 -1.836 -3.021 7.750 1.118 3.687" Properties=species:S:1:pos:R:3 pbc="T T T"
Hg 0.000 0.000 0.000
Cu 4.226 -1.588 -0.034
Cu 3.228 -2.211 2.251
Cl 5.184 -0.914 2.013
Cl 2.270 -2.885 0.204
```

---

VASP calculation (PBEsol) on an optimized crystal structure of SrLaIO2.

Structure (extended XYZ):
```
5
Lattice="4.616 0.000 0.000 0.000 4.616 0.000 0.000 0.000 5.729" Properties=species:S:1:pos:R:3 pbc="T T T"
I 0.000 0.000 2.864
Sr 0.000 0.000 0.000
O 0.000 2.308 0.000
O 2.308 0.000 0.000
La 2.308 2.308 2.864
```

Results
**Fermi-level density of states**: 0.654 states/eV per atom

---

VASP calculation (PBEsol) on an optimized crystal structure of BiOsS2N.

Structure (extended XYZ):
```
5
Lattice="-1.510 -1.909 -3.296 4.303 -2.726 -0.392 -2.010 -3.606 3.009" Properties=species:S:1:pos:R:3 pbc="T T T"
S -1.005 -1.803 1.505
S 2.151 -1.363 -0.196
Os 0.391 -4.120 -0.339
Bi 0.000 0.000 0.000
N -0.755 -0.955 -1.648
```

Results
**Fermi-level density of states**: 0.956 states/eV per atom

---

VASP calculation (PBEsol) on an optimized crystal structure of La2BeTl.

Structure (extended XYZ):
```
4
Lattice="-4.449 0.614 -2.894 0.221 -0.279 -5.331 -2.129 -4.186 -2.547" Properties=species:S:1:pos:R:3 pbc="T T T"
Be 0.000 0.000 0.000
Tl -3.179 -1.926 -5.386
La -1.589 -0.963 -2.693
La -4.768 -2.889 -8.078
```

Results
**Formation energy from the elements**: -0.031 eV per atom
**Fermi-level density of states**: 1.326 states/eV per atom

---

VASP calculation (PBEsol) on an optimized crystal structure of HgSe.

Structure (extended XYZ):
```
6
Lattice="-1.128 -4.064 -0.482 0.485 1.621 3.893 -9.331 2.578 0.090" Properties=species:S:1:pos:R:3 pbc="T T T"
Hg -5.897 2.799 2.653
Hg -0.751 -2.707 -0.321
Hg -3.325 0.044 1.169
Se -1.297 1.292 2.086
Se -5.265 -0.873 -0.212
Se -8.076 1.005 1.671
```

---

VASP calculation (PBEsol) on an optimized crystal structure of LiIn2Ag.

Structure (extended XYZ):
```
4
Lattice="4.779 0.000 0.000 2.389 4.138 0.000 2.389 1.379 3.902" Properties=species:S:1:pos:R:3 pbc="T T T"
In 2.389 1.379 0.975
In 7.168 4.138 2.926
Ag 0.000 0.000 0.000
Li 4.779 2.759 1.951
```

Results
**Formation energy from the elements**: -0.192 eV per atom
**Fermi-level density of states**: 0.281 states/eV per atom

---

VASP calculation (PBEsol) on an optimized crystal structure of LaY2FeIr.

Structure (extended XYZ):
```
5
Lattice="4.791 0.000 0.000 0.000 5.370 0.000 0.000 0.000 5.370" Properties=species:S:1:pos:R:3 pbc="T T T"
Y 0.000 0.000 2.685
Y 0.000 2.685 0.000
Ir 2.395 0.000 0.000
Fe 2.395 2.685 2.685
La 0.000 0.000 0.000
```

Results
**Formation energy from the elements**: 1.426 eV per atom
**Fermi-level density of states**: 1.612 states/eV per atom

---

VASP calculation (PBEsol) on an optimized crystal structure of Mn2NiRh.

Structure (extended XYZ):
```
4
Lattice="-2.739 0.639 1.004 -0.370 -3.852 1.440 1.603 1.197 3.612" Properties=species:S:1:pos:R:3 pbc="T T T"
Mn 0.802 0.598 1.806
Mn -0.185 -1.926 0.720
Ni -0.753 -1.008 3.028
Rh -1.369 0.319 0.502
```

Results
**Formation energy from the elements**: 0.036 eV per atom
**Fermi-level density of states**: 0.648 states/eV per atom

---

VASP calculation (PBEsol) on an optimized crystal structure of Re2HgTe.

Structure (extended XYZ):
```
4
Lattice="-2.881 -0.886 -0.658 -0.467 -0.731 5.022 0.242 5.100 -1.690" Properties=species:S:1:pos:R:3 pbc="T T T"
Hg -0.233 -0.366 2.511
Re 0.121 2.550 -0.845
Re -1.553 1.742 1.337
Te -1.441 -0.443 -0.329
```

Results
**Fermi-level density of states**: 0.870 states/eV per atom

---

VASP calculation (PBEsol) on an optimized crystal structure of CdIn3Cu.

Structure (extended XYZ):
```
5
Lattice="4.999 0.000 0.000 0.000 4.999 0.000 0.000 0.000 4.999" Properties=species:S:1:pos:R:3 pbc="T T T"
Cd 2.500 2.500 2.500
Cu 0.000 0.000 0.000
In 0.000 2.500 0.000
In 0.000 0.000 2.500
In 2.500 0.000 0.000
```

Results
**Formation energy from the elements**: 0.182 eV per atom
**Fermi-level density of states**: 0.348 states/eV per atom

---

VASP calculation (PBEsol) on an optimized crystal structure of YAl3Cl.

Structure (extended XYZ):
```
5
Lattice="-0.203 -4.967 2.815 3.286 2.202 4.122 -4.669 1.766 2.779" Properties=species:S:1:pos:R:3 pbc="T T T"
Y 0.000 0.000 0.000
Al 1.643 1.101 2.061
Al -2.334 0.883 1.389
Al -0.102 -2.483 1.408
Cl -0.793 -0.500 4.858
```

Results
**Fermi-level density of states**: 1.657 states/eV per atom

---

VASP calculation (PBEsol) on an optimized crystal structure of BaInAu3.

Structure (extended XYZ):
```
5
Lattice="-3.618 2.420 -2.832 -3.466 -3.632 1.326 -1.363 2.814 4.146" Properties=species:S:1:pos:R:3 pbc="T T T"
Au -1.733 -1.816 0.663
Au -0.681 1.407 2.073
Au -1.809 1.210 -1.416
Ba -4.224 0.801 1.320
In 0.000 0.000 0.000
```

Results
**Formation energy from the elements**: -0.241 eV per atom
**Fermi-level density of states**: 0.347 states/eV per atom

---

no.,total DFT energy (no corrections) (eV/f.u.)
1,-14.24
2,-25.38
3,-22.95
4,-17.45
5,-4.76
6,-12.01
7,-30.65
8,-33.67
9,-26.02
10,-13.57
11,-15.75
12,-18.11